--- w ---
Here is crystalline HfTlP2Cl at its relaxed geometry from Alexandria. Energies are from PBE-GGA.

Output
Magnetization: 0.00 μB/f.u.

CIF file:
```
data_HfTlP2Cl
_cell_length_a 5.020
_cell_length_b 5.020
_cell_length_c 5.191
_cell_angle_alpha 90.00
_cell_angle_beta 90.00
_cell_angle_gamma 90.00
_symmetry_space_group_name_H-M 'P 4/m m m'
_symmetry_Int_Tables_number 123
_symmetry_space_group_name_Hall '-P 4 2'
loop_
_atom_site_label
_atom_site_type_symbol
_atom_site_fract_x
_atom_site_fract_y
_atom_site_fract_z
Hf1 Hf 0.000 0.000 0.000
Tl1 Tl 0.500 0.500 0.500
P1 P 0.000 0.500 0.000
Cl1 Cl 0.000 0.000 0.500
```

--- x ---
Here is crystalline HfTlP2Cl at its relaxed geometry from Alexandria. Energies are from PBE-GGA.

Output
Magnetization: 0.00 μB/f.u.

CIF file:
```
data_HfTlP2Cl
_cell_length_a 5.027
_cell_length_b 5.027
_cell_length_c 5.017
_cell_angle_alpha 90.00
_cell_angle_beta 90.00
_cell_angle_gamma 90.00
_symmetry_space_group_name_H-M 'P 4/m m m'
_symmetry_Int_Tables_number 123
_symmetry_space_group_name_Hall '-P 4 2'
loop_
_atom_site_label
_atom_site_type_symbol
_atom_site_fract_x
_atom_site_fract_y
_atom_site_fract_z
Hf1 Hf 0.000 0.000 0.000
Tl1 Tl 0.500 0.500 0.500
P1 P 0.000 0.500 0.500
Cl1 Cl 0.500 0.500 0.000
```

If we sort the structures by their calculated energies, the order from most to least stable is w, x.